Compound: Li2MnCoO4
Source: Alexandria
Functional: PBE+U
Structure: optimized geometry

The structure belongs to space group P2/m (No. 10); the cell edges are 5.1429, 2.9156 and 5.2036 Å and the angles 90.00°, 110.48° and 90.00°. The asymmetric unit holds Li at (0.0000, 0.0000, 0.0000), Li at (0.0000, 0.5000, 0.5000), Mn at (0.5000, 0.0000, 0.5000), Co at (0.5000, 0.5000, 0.0000), O at (0.2705, 0.5000, 0.2794) and O at (0.2774, 0.0000, 0.7352).

The energy above the most stable polymorph in this dataset is 23.9 meV/atom. For the total DFT energy (no corrections), the calculation gives -6.12 eV/atom.